First-principles (GGA+U) data for crystalline NaNpCoO4 at its relaxed geometry, as listed in the Alexandria database.

It has space group Imma (No. 74), with a = 6.4663 Å, b = 6.9836 Å, c = 8.7114 Å, α = 90.00°, β = 90.00° and γ = 90.00°. The asymmetric unit holds Na at (0.0000, 0.2500, 0.1359), Np at (0.0000, 0.0000, 0.5000), Co at (0.2500, 0.2500, 0.7500), O at (0.0000, 0.0421, 0.7338) and O at (0.2100, 0.2500, 0.5026).

For the total DFT energy (no corrections), the calculation gives -7.73 eV per atom.